Record 1
! Ba6Au2Br3N | Alexandria via LeMat-Bulk | PBE | optimized geometry; values from VASP
&SYSTEM
  ibrav = 0, nat = 12, ntyp = 4
/
ATOMIC_SPECIES
Ba 137.33 Ba.upf
Au 196.97 Au.upf
Br 79.90 Br.upf
N 14.01 N.upf
CELL_PARAMETERS angstrom
3.9832 -6.8914 0.0000
3.9832 6.8914 0.0000
-2.6900 0.0000 8.1243
ATOMIC_POSITIONS crystal
Ba 0.0682 0.3604 0.2050
Ba 0.2230 0.2230 0.7964
Ba 0.3604 0.0682 0.2050
Ba 0.6396 0.9318 0.7950
Ba 0.7770 0.7770 0.2036
Ba 0.9318 0.6396 0.7950
Au 0.3334 0.6666 0.0000
Au 0.6666 0.3334 0.0000
Br 0.1671 0.8329 0.5000
Br 0.5000 0.5000 0.5000
Br 0.8329 0.1671 0.5000
N 0.0000 0.0000 0.0000
! DOS at the Fermi energy (states/eV/f.u.): 10.093
! E_form (uncorrected) (eV per atom): -1.14
! V (Å³ per atom): 37.17
! SG: No. 12
! Spin magnetization (μB per formula unit): 0.521

=====

Record 2
! Ba4AuBr2N | Alexandria via LeMat-Bulk | PBE | optimized geometry; values from VASP
&SYSTEM
  ibrav = 0, nat = 8, ntyp = 4
/
ATOMIC_SPECIES
Ba 137.33 Ba.upf
Au 196.97 Au.upf
Br 79.90 Br.upf
N 14.01 N.upf
CELL_PARAMETERS angstrom
7.9011 0.0000 0.0000
0.0000 4.4670 0.0000
-2.4617 0.0000 8.0667
ATOMIC_POSITIONS crystal
Ba 0.2144 0.0000 0.1967
Ba 0.2161 0.5000 0.7990
Ba 0.7839 0.5000 0.2010
Ba 0.7856 0.0000 0.8033
Au 0.5000 0.0000 0.0000
Br 0.0000 0.0000 0.5000
Br 0.5000 0.5000 0.5000
N 0.0000 0.5000 0.0000
! DOS at the Fermi energy (states/eV/f.u.): 4.608
! E_form (uncorrected) (eV per atom): -1.10
! V (Å³ per atom): 35.59
! SG: No. 10
! Spin magnetization (μB per formula unit): 0.005

=====

Which value of V does entry 2 give? 35.59 Å³ per atom

=====

Which formula does entry 1 have? Ba6Au2Br3N

=====

V of number 2 (Ba4AuBr2N)? 35.59 Å³ per atom

=====

The highest V belongs to which entry? Ba6Au2Br3N